(1)
Computed, not measured: crystalline Tb4Pm7Th at its relaxed geometry at the GGA-PBE level of DFT.

a = 6.3105 Å, b = 7.2889 Å, c = 8.9918 Å
α = 90.08°, β = 103.65°, γ = 90.01°
Closest atoms and distances in Å follow each position.
Atoms (fractional coordinates):
Tb 0.2205 0.0000 0.1636  4 Tb 3.54-3.66, 8 Pm 3.59-3.66
Tb 0.2749 0.7498 0.8302  1 Th 3.56, 8 Pm 3.57-3.68, 3 Tb 3.59-3.66
Tb 0.7251 0.2502 0.1698  1 Th 3.56, 8 Pm 3.57-3.68, 3 Tb 3.59-3.66
Tb 0.7795 0.0000 0.8364  4 Tb 3.54-3.66, 8 Pm 3.59-3.66
Pm 0.0000 0.0000 0.5000  4 Tb 3.57-3.62, 6 Pm 3.58-3.66, 2 Th 3.64
Pm 0.2191 0.4998 0.1710  1 Th 3.55, 6 Pm 3.55-3.67, 5 Tb 3.61-3.68
Pm 0.2762 0.2514 0.8315  1 Th 3.57, 5 Pm 3.58-3.67, 6 Tb 3.59-3.66
Pm 0.4996 0.2535 0.4990  7 Pm 3.55-3.70, 3 Tb 3.57-3.64, 2 Th 3.63
Pm 0.5004 0.7465 0.5010  7 Pm 3.55-3.70, 3 Tb 3.57-3.64, 2 Th 3.63
Pm 0.7238 0.7486 0.1685  1 Th 3.57, 5 Pm 3.58-3.67, 6 Tb 3.59-3.66
Pm 0.7809 0.5002 0.8290  1 Th 3.55, 6 Pm 3.55-3.67, 5 Tb 3.61-3.68
Th 0.0000 0.5000 0.5000  10 Pm 3.55-3.64, 2 Tb 3.56

Computed properties:
Raw total energy ... -4.919 eV/atom
ΔH_f (0 K) ... 0.01 eV/atom
SG ... P-1, No. 2
Offset from the most stable computed form ... 0 meV/atom

=====

(2)
Computed, not measured: crystalline TbPm8Th4 at its relaxed geometry at the GGA-PBE level of DFT.

a = 7.8900 Å, b = 7.8900 Å, c = 7.8900 Å
α = 91.98°, β = 91.98°, γ = 91.98°
Closest atoms and distances in Å follow each position.
Atoms (fractional coordinates):
Tb 0.0000 0.0000 0.0000  8 Pm 3.46-3.60
Pm 0.2438 0.7315 0.7315  4 Th 3.32-3.49, 1 Tb 3.60, 2 Pm 3.68
Pm 0.2626 0.2626 0.2626  1 Th 3.13, 1 Tb 3.46
Pm 0.2685 0.2685 0.7562  4 Th 3.32-3.49, 1 Tb 3.60, 2 Pm 3.68
Pm 0.2685 0.7562 0.2685  4 Th 3.32-3.49, 1 Tb 3.60, 2 Pm 3.68
Pm 0.7315 0.2438 0.7315  4 Th 3.32-3.49, 1 Tb 3.60, 2 Pm 3.68
Pm 0.7315 0.7315 0.2438  4 Th 3.32-3.49, 1 Tb 3.60, 2 Pm 3.68
Pm 0.7374 0.7374 0.7374  1 Th 3.13, 1 Tb 3.46
Pm 0.7562 0.2685 0.2685  4 Th 3.32-3.49, 1 Tb 3.60, 2 Pm 3.68
Th 0.0000 0.0000 0.5000  8 Pm 3.44-3.51
Th 0.0000 0.5000 0.0000  8 Pm 3.44-3.51
Th 0.5000 0.0000 0.0000  8 Pm 3.44-3.51
Th 0.5000 0.5000 0.5000  8 Pm 3.13-3.32

Computed properties:
Raw total energy ... -5.002 eV/atom
ΔH_f (0 K) ... 0.56 eV/atom
SG ... R-3m, No. 166

=====

(3)
Computed, not measured: crystalline Tb2Pm2Th5 at its relaxed geometry at the GGA-PBE level of DFT.

a = 5.0455 Å, b = 6.2203 Å, c = 10.7791 Å
α = 73.39°, β = 76.52°, γ = 66.07°
Closest atoms and distances in Å follow each position.
Atoms (fractional coordinates):
Tb 0.1666 0.0577 0.1089  2 Tb 3.55-3.56, 9 Th 3.56-3.61, 1 Pm 3.61
Tb 0.8334 0.9423 0.8911  2 Tb 3.55-3.56, 9 Th 3.56-3.61, 1 Pm 3.61
Pm 0.1661 0.7254 0.4433  3 Pm 3.57-3.61, 8 Th 3.59-3.62, 1 Tb 3.61
Pm 0.8339 0.2746 0.5567  3 Pm 3.57-3.61, 8 Th 3.59-3.62, 1 Tb 3.61
Th 0.1634 0.3937 0.7795  5 Th 3.55-3.62, 4 Tb 3.56-3.61, 3 Pm 3.60-3.62
Th 0.4988 0.8308 0.6714  5 Th 3.55-3.69, 2 Tb 3.56, 5 Pm 3.59-3.62
Th 0.5000 0.5000 0.0000  6 Th 3.55-3.56, 6 Tb 3.57-3.59
Th 0.5012 0.1692 0.3286  5 Th 3.55-3.69, 2 Tb 3.56, 5 Pm 3.59-3.62
Th 0.8366 0.6063 0.2205  5 Th 3.55-3.62, 4 Tb 3.56-3.61, 3 Pm 3.60-3.62

Computed properties:
Raw total energy ... -6.142 eV/atom
ΔH_f (0 K) ... 0.06 eV/atom
SG ... P-1, No. 2

=====

(4)
Computed, not measured: crystalline TbPmTh2 at its relaxed geometry at the GGA-PBE level of DFT.

a = 11.9065 Å, b = 11.9065 Å, c = 11.9065 Å
α = 17.31°, β = 17.31°, γ = 17.31°
Closest atoms and distances in Å follow each position.
Atoms (fractional coordinates):
Tb 0.0000 0.0000 0.0000  6 Th 3.52-3.61, 6 Tb 3.58
Pm 0.8300 0.8300 0.8300  6 Th 3.56-3.66, 6 Pm 3.58
Th 0.4143 0.4143 0.4143  3 Tb 3.52, 3 Pm 3.56, 6 Th 3.58
Th 0.5826 0.5826 0.5826  6 Th 3.58, 3 Tb 3.61, 3 Pm 3.66

Computed properties:
Raw total energy ... -6.007 eV/atom
ΔH_f (0 K) ... 0.05 eV/atom
SG ... R3m, No. 160
Offset from the most stable computed form ... 19 meV/atom

=====

> What is the raw total energy in the fourth record?

-6.007 eV/atom